Entry from Alexandria via LeMat-Bulk: crystalline CoH2PdW at its relaxed geometry (PBE-GGA).

a b c (Å): 3.532 3.532 4.590
angles (deg): 90.00 90.00 90.00
Fractional positions:
Co 0.000 0.000 0.000
H 0.000 0.500 0.500
H 0.500 0.000 0.500
Pd 0.500 0.500 0.000
W 0.000 0.000 0.500

Results
DFT total energy: -5.624 eV/atom
crystal system: tetragonal
size of the total moment: 1.01 μB/f.u.

---

Entry from Alexandria via LeMat-Bulk: crystalline Y2CoHPd at its relaxed geometry (PBE-GGA).

a b c (Å): 4.908 4.908 3.457
angles (deg): 90.00 90.00 90.00
Fractional positions:
Y 0.000 0.500 0.000
Y 0.500 0.000 0.000
Co 0.000 0.000 0.500
H 0.000 0.000 0.000
Pd 0.500 0.500 0.500

Results
DFT total energy: -6.246 eV/atom
crystal system: tetragonal
size of the total moment: 0.21 μB/f.u.

---

Entry from Alexandria via LeMat-Bulk: crystalline Y2CoHPd at its relaxed geometry (PBE-GGA).

a b c (Å): 4.866 4.866 3.627
angles (deg): 90.00 90.00 90.00
Fractional positions:
Y 0.000 0.500 0.000
Y 0.500 0.000 0.000
Co 0.000 0.000 0.500
H 0.500 0.500 0.000
Pd 0.500 0.500 0.500

Results
DFT total energy: -6.134 eV/atom
crystal system: tetragonal
size of the total moment: 0.67 μB/f.u.